Entry 1:
# LaCoCuBi

A geometry-optimized LaCoCuBi structure (PBE, the Open Quantum Materials Database).

Properties
Symmetry = F-43m, No. 216
Relative energy among the computed polymorphs = 314 meV/atom
Total moment = 1.51 μB/f.u.
Calculated total energy = -4.698 eV/atom

Lattice parameters (Å, degrees): 5.061 5.061 5.061 60.00 60.00 60.00
Fractional positions:
1 Co 0.000 0.000 0.000
2 Bi 0.500 0.500 0.500
3 Cu 0.750 0.750 0.750
4 La 0.250 0.250 0.250

***

Entry 2:
# LiCoCuBi

A geometry-optimized LiCoCuBi structure (PBE, the Open Quantum Materials Database).

Properties
Symmetry = F-43m, No. 216
Relative energy among the computed polymorphs = 172 meV/atom
Total moment = 1.42 μB/f.u.
Calculated total energy = -3.935 eV/atom

Lattice parameters (Å, degrees): 4.407 4.407 4.407 60.00 60.00 60.00
Last column: magnetic moment on the atom in μB.
Fractional positions:
1 Cu 0.000 0.000 0.000  0.00
2 Li 0.500 0.500 0.500  -0.01
3 Co 0.750 0.750 0.750  1.39
4 Bi 0.250 0.250 0.250  0.02

***

Entry 3:
# LiCoCuBi

A geometry-optimized LiCoCuBi structure (PBE, the Open Quantum Materials Database).

Properties
Symmetry = F-43m, No. 216
Relative energy among the computed polymorphs = 0 meV/atom
Total moment = 0.01 μB/f.u.
Calculated total energy = -4.107 eV/atom

Lattice parameters (Å, degrees): 4.357 4.357 4.357 60.00 60.00 60.00
Fractional positions:
1 Co 0.000 0.000 0.000
2 Cu 0.750 0.750 0.750
3 Li 0.500 0.500 0.500
4 Bi 0.250 0.250 0.250

***

> Which of these has the highest calculated total energy?

number 2